# Ba4GaP4 | Alexandria | PBE | relaxed
data_Ba4GaP4
_chemical_formula_sum 'Ba8 Ga2 P8'
_space_group_name_H-M_alt 'P 42/n m c'
_space_group_IT_number 137
_cell_length_a 9.284
_cell_length_b 9.284
_cell_length_c 6.713
_cell_angle_alpha 90.00
_cell_angle_beta 90.00
_cell_angle_gamma 90.00
loop_
_space_group_symop_operation_xyz
'x,y,z'
'-x,-y,-z'
'-y+1/2,x,z+1/2'
'y+1/2,-x,-z+1/2'
'-x+1/2,-y+1/2,z'
'x+1/2,y+1/2,-z'
'y,-x+1/2,z+1/2'
'-y,x+1/2,-z+1/2'
'x+1/2,-y,-z'
'-x+1/2,y,z'
'-y,-x,-z+1/2'
'y,x,z+1/2'
'-x,y+1/2,-z'
'x,-y+1/2,z'
'y+1/2,x+1/2,-z+1/2'
'-y+1/2,-x+1/2,z+1/2'
loop_
_atom_site_label
_atom_site_fract_x
_atom_site_fract_y
_atom_site_fract_z
Ba1 0.018 0.250 0.060
Ga1 0.250 0.750 0.250
P1 0.028 0.750 0.448
# energy of formation from the pure elements	-7.982	eV/f.u.
# crystal system	tetragonal



# CeNd2Dy3S6 | Alexandria | PBE | relaxed
data_CeNd2Dy3S6
_chemical_formula_sum 'Ce2 Nd4 Dy6 S12'
_space_group_name_H-M_alt 'C 1 2/m 1'
_space_group_IT_number 12
_space_group_name_Hall '-C 2y'
_cell_length_a 17.409
_cell_length_b 3.950
_cell_length_c 8.033
_cell_angle_alpha 90.00
_cell_angle_beta 104.15
_cell_angle_gamma 90.00
loop_
_atom_site_label
_atom_site_fract_x
_atom_site_fract_y
_atom_site_fract_z
Ce1 0.000 0.000 0.000
Nd1 0.166 0.500 0.332
Dy1 0.000 0.000 0.500
Dy2 0.167 0.500 0.835
S1 0.004 0.500 0.743
S2 0.164 0.000 0.592
S3 0.169 0.000 0.075
# crystal system	monoclinic



# CrHPt2 | Alexandria | PBE | relaxed
data_CrHPt2
_chemical_formula_sum 'Cr4 H4 Pt8'
_space_group_name_H-M_alt 'I -4 2 d'
_space_group_IT_number 122
_space_group_name_Hall 'I -4 2bw'
_cell_length_a 6.166
_cell_length_b 6.166
_cell_length_c 5.051
_cell_angle_alpha 90.00
_cell_angle_beta 90.00
_cell_angle_gamma 90.00
loop_
_atom_site_label
_atom_site_fract_x
_atom_site_fract_y
_atom_site_fract_z
Cr1 0.000 0.000 0.000
H1 0.000 0.000 0.500
Pt1 0.155 0.750 0.625
# relative energy among the computed polymorphs	0.0	meV/atom
# crystal system	tetragonal



# K2SrTc | Alexandria | PBE | relaxed
data_K2SrTc
_chemical_formula_sum 'K8 Sr4 Tc4'
_space_group_name_H-M_alt 'F m -3 m'
_space_group_IT_number 225
_space_group_name_Hall '-F 4 2 3'
_cell_length_a 8.596
_cell_length_b 8.596
_cell_length_c 8.596
_cell_angle_alpha 90.00
_cell_angle_beta 90.00
_cell_angle_gamma 90.00
loop_
_atom_site_label
_atom_site_fract_x
_atom_site_fract_y
_atom_site_fract_z
K1 0.250 0.250 0.250
Sr1 0.000 0.000 0.000
Tc1 0.000 0.000 0.500
# energy of formation from the pure elements	4.816	eV/f.u.
# relative energy among the computed polymorphs	340.1	meV/atom
# crystal system	cubic



# GaAgCl3 | Alexandria | PBE | relaxed
data_GaAgCl3
_chemical_formula_sum 'Ga1 Ag1 Cl3'
_space_group_name_H-M_alt 'P m -3 m'
_space_group_IT_number 221
_space_group_name_Hall '-P 4 2 3'
_cell_length_a 4.970
_cell_length_b 4.970
_cell_length_c 4.970
_cell_angle_alpha 90.00
_cell_angle_beta 90.00
_cell_angle_gamma 90.00
loop_
_atom_site_label
_atom_site_fract_x
_atom_site_fract_y
_atom_site_fract_z
Ga1 0.000 0.000 0.000
Ag1 0.500 0.500 0.500
Cl1 0.000 0.000 0.500
# crystal system	cubic



# LiV2Ag | Alexandria | PBE | relaxed
data_LiV2Ag
_chemical_formula_sum 'Li4 V8 Ag4'
_space_group_name_H-M_alt 'I -4 2 d'
_space_group_IT_number 122
_space_group_name_Hall 'I -4 2bw'
_cell_length_a 7.235
_cell_length_b 7.235
_cell_length_c 4.647
_cell_angle_alpha 90.00
_cell_angle_beta 90.00
_cell_angle_gamma 90.00
loop_
_atom_site_label
_atom_site_fract_x
_atom_site_fract_y
_atom_site_fract_z
Li1 0.000 0.000 0.000
V1 0.245 0.250 0.125
Ag1 0.000 0.000 0.500
# energy of formation from the pure elements	3.010	eV/f.u.
# relative energy among the computed polymorphs	60.8	meV/atom
# crystal system	tetragonal



# CaSiSCl2 | Alexandria | PBE | relaxed
data_CaSiSCl2
_chemical_formula_sum 'Ca1 Si1 S1 Cl2'
_space_group_name_H-M_alt 'P 4/m m m'
_space_group_IT_number 123
_space_group_name_Hall '-P 4 2'
_cell_length_a 4.846
_cell_length_b 4.846
_cell_length_c 4.982
_cell_angle_alpha 90.00
_cell_angle_beta 90.00
_cell_angle_gamma 90.00
loop_
_atom_site_label
_atom_site_fract_x
_atom_site_fract_y
_atom_site_fract_z
Ca1 0.000 0.000 0.000
Si1 0.500 0.500 0.500
S1 0.500 0.500 0.000
Cl1 0.000 0.500 0.500
# relative energy among the computed polymorphs	0.0	meV/atom
# crystal system	tetragonal



# KAl2Ni | Alexandria | PBE | relaxed
data_KAl2Ni
_chemical_formula_sum 'K4 Al8 Ni4'
_space_group_name_H-M_alt 'I 41/a m d'
_space_group_IT_number 141
_cell_length_a 6.012
_cell_length_b 6.012
_cell_length_c 13.248
_cell_angle_alpha 90.00
_cell_angle_beta 90.00
_cell_angle_gamma 90.00
loop_
_space_group_symop_operation_xyz
'x,y,z'
'-x,-y,-z'
'-y+1/4,x+3/4,z+1/4'
'y+1/4,-x+3/4,-z+1/4'
'-x+1/2,-y,z+1/2'
'x+1/2,y,-z+1/2'
'y+1/4,-x+1/4,z+3/4'
'-y+1/4,x+1/4,-z+3/4'
'x,-y,-z'
'-x,y,z'
'-y+1/4,-x+1/4,-z+3/4'
'y+1/4,x+1/4,z+3/4'
'-x+1/2,y,-z+1/2'
'x+1/2,-y,z+1/2'
'y+1/4,x+3/4,-z+1/4'
'-y+1/4,-x+3/4,z+1/4'
'x+1/2,y+1/2,z+1/2'
'-x+1/2,-y+1/2,-z+1/2'
'-y+3/4,x+1/4,z+3/4'
'y+3/4,-x+1/4,-z+3/4'
'-x,-y+1/2,z'
'x,y+1/2,-z'
'y+3/4,-x+3/4,z+1/4'
'-y+3/4,x+3/4,-z+1/4'
'x+1/2,-y+1/2,-z+1/2'
'-x+1/2,y+1/2,z+1/2'
'-y+3/4,-x+3/4,-z+1/4'
'y+3/4,x+3/4,z+1/4'
'-x,y+1/2,-z'
'x,-y+1/2,z'
'y+3/4,x+1/4,-z+3/4'
'-y+3/4,-x+1/4,z+3/4'
loop_
_atom_site_label
_atom_site_fract_x
_atom_site_fract_y
_atom_site_fract_z
K1 0.000 0.250 0.375
Al1 0.000 0.000 0.000
Ni1 0.000 0.250 0.875
# energy of formation from the pure elements	0.570	eV/f.u.
# relative energy among the computed polymorphs	266.8	meV/atom
# crystal system	tetragonal



# Y6HoTh2 | Alexandria | PBE | relaxed
data_Y6HoTh2
_chemical_formula_sum 'Y6 Ho1 Th2'
_space_group_name_H-M_alt 'P -6 m 2'
_space_group_IT_number 187
_space_group_name_Hall 'P -6 2'
_cell_length_a 3.5858
_cell_length_b 3.5858
_cell_length_c 26.3320
_cell_angle_alpha 90.00
_cell_angle_beta 90.00
_cell_angle_gamma 120.00
loop_
_atom_site_label
_atom_site_fract_x
_atom_site_fract_y
_atom_site_fract_z
Y1 0.0000 0.0000 0.0634
Y2 0.0000 0.0000 0.2832
Y3 0.3333 0.6667 0.3921
Ho1 0.0000 0.0000 0.5000
Th1 0.3333 0.6667 0.1711
# energy of formation from the pure elements	0.629	eV/f.u.
# relative energy among the computed polymorphs	0.0	meV/atom
# crystal system	hexagonal



# DyPaCoOs | Alexandria | PBE | relaxed
data_DyPaCoOs
_chemical_formula_sum 'Dy4 Pa4 Co4 Os4'
_space_group_name_H-M_alt 'F -4 3 m'
_space_group_IT_number 216
_space_group_name_Hall 'F -4 2 3'
_cell_length_a 6.782
_cell_length_b 6.782
_cell_length_c 6.782
_cell_angle_alpha 90.00
_cell_angle_beta 90.00
_cell_angle_gamma 90.00
loop_
_atom_site_label
_atom_site_fract_x
_atom_site_fract_y
_atom_site_fract_z
Dy1 0.000 0.000 0.000
Pa1 0.000 0.000 0.500
Co1 0.250 0.250 0.750
Os1 0.250 0.250 0.250
# energy of formation from the pure elements	-0.710	eV/f.u.
# crystal system	cubic



# SrTc2RuO8 | Alexandria | PBE | relaxed
data_SrTc2RuO8
_chemical_formula_sum 'Sr2 Tc4 Ru2 O16'
_space_group_name_H-M_alt 'C m m m'
_space_group_IT_number 65
_space_group_name_Hall '-C 2 2'
_cell_length_a 6.765
_cell_length_b 7.111
_cell_length_c 6.167
_cell_angle_alpha 90.00
_cell_angle_beta 90.00
_cell_angle_gamma 90.00
loop_
_atom_site_label
_atom_site_fract_x
_atom_site_fract_y
_atom_site_fract_z
Sr1 0.000 0.000 0.000
Tc1 0.000 0.500 0.268
Ru1 0.000 0.000 0.500
O1 0.000 0.288 0.500
O2 0.000 0.338 0.000
O3 0.225 0.000 0.296
# crystal system	orthorhombic



# YErAlGe | Alexandria | PBE | relaxed
data_YErAlGe
_chemical_formula_sum 'Y2 Er2 Al2 Ge2'
_space_group_name_H-M_alt 'A m m 2'
_space_group_IT_number 38
_space_group_name_Hall 'A 2 -2'
_cell_length_a 4.008
_cell_length_b 4.345
_cell_length_c 10.839
_cell_angle_alpha 90.00
_cell_angle_beta 90.00
_cell_angle_gamma 90.00
loop_
_atom_site_label
_atom_site_fract_x
_atom_site_fract_y
_atom_site_fract_z
Y1 0.000 0.000 0.000
Er1 0.500 0.000 0.282
Al1 0.000 0.000 0.717
Ge1 0.500 0.000 0.563
# energy of formation from the pure elements	-2.820	eV/f.u.
# crystal system	orthorhombic



Number 1: total magnetization 0.00 μB per formula unit, electronic total energy -80.68 eV/cell, calculated volume 289 Å³/f.u.. Number 2: total magnetization 1.01 μB per formula unit, electronic total energy -156.53 eV/cell, calculated volume 268 Å³/f.u.. Number 3: total magnetization 0.04 μB per formula unit, electronic total energy -96.53 eV/cell, calculated volume 48 Å³/f.u.. Number 4: total magnetization 2.75 μB per formula unit, electronic total energy -37.71 eV/cell, calculated volume 159 Å³/f.u.. Number 5: total magnetization 0.00 μB per formula unit, electronic total energy -13.74 eV/cell, calculated volume 123 Å³/f.u.. Number 6: total magnetization 0.00 μB per formula unit, electronic total energy -79.97 eV/cell, calculated volume 61 Å³/f.u.. Number 7: total magnetization 0.00 μB per formula unit, electronic total energy -19.65 eV/cell, calculated volume 117 Å³/f.u.. Number 8: total magnetization 0.00 μB per formula unit, electronic total energy -55.18 eV/cell, calculated volume 120 Å³/f.u.. Number 9: total magnetization 0.33 μB per formula unit, electronic total energy -57.57 eV/cell, calculated volume 293 Å³/f.u.. Number 10: total magnetization 0.00 μB per formula unit, electronic total energy -132.57 eV/cell, calculated volume 78 Å³/f.u.. Number 11: total magnetization 0.24 μB per formula unit, electronic total energy -178.94 eV/cell, calculated volume 148 Å³/f.u.. Number 12: total magnetization 0.00 μB per formula unit, electronic total energy -44.41 eV/cell, calculated volume 94 Å³/f.u..